Record 1
First-principles (PBE) data for an optimized crystal structure of Be4ReGe, as listed in Alexandria.

Structure (POSCAR):
```
Be4ReGe
1.0
0.000 3.112 3.112
3.112 0.000 3.112
3.112 3.112 0.000
Be Re Ge
4 1 1
direct
0.378 0.378 0.378
0.378 0.378 0.866
0.378 0.866 0.378
0.866 0.378 0.378
0.750 0.750 0.750
0.000 0.000 0.000
```

Computed properties:
Density = 8.1 Mg/m³
Crystal system = cubic
DFT total energy = -32.19 eV for the cell shown
Magnetic moment = 0.000 Bohr magnetons per cell

---

Record 2
First-principles (PBE) data for an optimized crystal structure of PdPt8, as listed in Alexandria.

Structure (POSCAR):
```
PdPt8
1.0
-4.202 4.202 1.989
4.202 -4.202 1.989
4.202 4.202 -1.989
Pd Pt
1 8
direct
0.000 0.000 0.000
0.000 0.333 0.333
0.000 0.667 0.667
0.333 0.000 0.333
0.334 0.334 0.667
0.334 0.666 0.000
0.666 0.334 0.000
0.666 0.666 0.333
0.667 0.000 0.667
```

Computed properties:
Density = 19.7 Mg/m³
Crystal system = tetragonal
DFT total energy = -53.69 eV for the cell shown
Magnetic moment = 0.000 Bohr magnetons per cell

---

Record 3
First-principles (PBE) data for an optimized crystal structure of CoCuP2, as listed in Alexandria.

Structure (POSCAR):
```
CoCuP2
1.0
2.818 0.000 0.000
0.000 3.155 0.000
0.000 0.000 5.566
Co Cu P
1 1 2
direct
0.000 0.000 0.000
0.000 0.000 0.500
0.500 0.500 0.219
0.500 0.500 0.781
```

Computed properties:
Density = 6.2 Mg/m³
Crystal system = orthorhombic
DFT total energy = -21.60 eV for the cell shown
Magnetic moment = 0.000 Bohr magnetons per cell

---

Q: What is the density in the second record?
A: 19.7 Mg/m³